Computed, not measured: a geometry-optimized SmGeHO4 structure at the PBE-GGA level of DFT.

Computed properties:
Space group = P2_1/m
Total DFT energy (no corrections) = -6.793 eV/atom

Cell and atoms, written as extended XYZ:
```
14
Lattice="-5.2418 0.5865 0.0803 -0.6078 -4.8297 -4.3998 0.3392 -3.1142 3.3715" Properties=species:S:1:pos:R:3 pbc="T T T"
Ge -3.5888 -2.5344 0.8315
Ge -1.9217 -4.8229 -1.7794
O -3.6015 -4.4529 -1.9535
O -4.7580 -3.8659 0.4915
O -0.9963 -5.4292 -3.2048
O -1.9006 -6.0048 -0.4850
O -4.5141 -1.9281 2.2569
O -0.7524 -3.4914 -1.4395
O -1.9089 -2.9044 1.0055
O -3.6098 -1.3525 -0.4630
H -0.1343 -3.9719 -0.5142
H 0.1696 -1.5571 1.6858
Sm -1.2465 -1.2494 -0.9027
Sm -4.2639 -6.1079 -0.0453
```